(1)
The following is a DFT calculation (GGA-PBE) of a geometry-optimized ErSi4OsRu2 structure.

Uncorrected formation energy: -56 kJ per mole of atoms
SG: No. 166

Lattice parameters (Å, degrees): 4.110 4.110 8.639 76.24 76.24 60.00
Positions (direct):
Si1 0.600 0.600 0.200
Si2 0.400 0.400 0.800
Si3 0.131 0.131 0.608
Si4 0.869 0.869 0.392
Ru1 0.235 0.235 0.294
Ru2 0.765 0.765 0.706
Os1 0.500 0.500 0.500
Er1 0.000 0.000 0.000

---

(2)
The following is a DFT calculation (GGA-PBE) of a geometry-optimized ErThOsRu structure.

Formation energy from the elements: -0.330 eV/atom
SG: No. 216

Lattice parameters (Å, degrees): 4.912 4.912 4.912 60.00 60.00 60.00
Positions (direct):
Os1 0.250 0.250 0.250
Th1 0.500 0.500 0.500
Ru1 0.750 0.750 0.750
Er1 0.000 0.000 0.000

---

(3)
The following is a DFT calculation (GGA-PBE) of a geometry-optimized ErVOsRu structure.

Formation energy from the elements: -0.150 eV/atom
SG: No. 216

Lattice parameters (Å, degrees): 4.509 4.509 4.509 60.00 60.00 60.00
Positions (direct):
Os1 0.250 0.250 0.250
Er1 0.500 0.500 0.500
V1 0.000 0.000 0.000
Ru1 0.750 0.750 0.750

---

(4)
The following is a DFT calculation (GGA-PBE) of a geometry-optimized YErOsRu structure.

Formation energy from the elements: -0.180 eV/atom
SG: No. 216

Lattice parameters (Å, degrees): 4.801 4.801 4.801 60.00 60.00 60.00
Positions (direct):
Ru1 0.750 0.750 0.750
Er1 0.000 0.000 0.000
Y1 0.500 0.500 0.500
Os1 0.250 0.250 0.250

---

(5)
The following is a DFT calculation (GGA-PBE) of a geometry-optimized ErZrOsRu structure.

Formation energy from the elements: -0.460 eV/atom
Distance to the lowest polymorph of the same formula: 0 meV/atom
SG: No. 99

Lattice parameters (Å, degrees): 3.315 3.315 6.704 90.00 90.00 90.00
Positions (direct):
Os1 0.000 0.000 0.842
Er1 0.500 0.500 0.108
Zr1 0.500 0.500 0.608
Ru1 0.000 0.000 0.371

---

(6)
The following is a DFT calculation (GGA-PBE) of a geometry-optimized ErZrOsRu structure.

Formation energy from the elements: -0.443 eV/atom
Distance to the lowest polymorph of the same formula: 18 meV/atom
SG: No. 216

Lattice parameters (Å, degrees): 4.699 4.699 4.699 60.00 60.00 60.00
Positions (direct):
Er1 0.000 0.000 0.000
Os1 0.250 0.250 0.250
Zr1 0.500 0.500 0.500
Ru1 0.750 0.750 0.750